1.
Here is crystalline ReSbTe2N at its relaxed geometry from Alexandria via LeMat-Bulk. Energies are from PBE.

Computed properties:
Calculated volume (A^3/atom): 19.29
Energy above the most stable polymorph in this dataset (meV/atom): 922
DOS at the Fermi energy (states/eV/cell): 4.84
Uncorrected energy (eV/atom): -4.99

a b c (Å): 4.5895 4.5895 4.5793
angles (deg): 90.00 90.00 90.00
Space group P4/mmm (No. 123)
Inequivalent atoms, fractional coordinates:
Re 0.0000 0.0000 0.0000
Sb 0.5000 0.5000 0.0000
Te 0.0000 0.5000 0.5000
N 0.5000 0.5000 0.5000


2.
Here is crystalline ReSbTe2N at its relaxed geometry from Alexandria via LeMat-Bulk. Energies are from PBE.

Computed properties:
Calculated volume (A^3/atom): 27.32
Energy above the most stable polymorph in this dataset (meV/atom): 1437
DOS at the Fermi energy (states/eV/cell): 5.76
Uncorrected energy (eV/atom): -4.47

a b c (Å): 5.1266 5.1266 5.1977
angles (deg): 90.00 90.00 90.00
Space group P4/mmm (No. 123)
Inequivalent atoms, fractional coordinates:
Re 0.0000 0.0000 0.0000
Sb 0.0000 0.0000 0.5000
Te 0.0000 0.5000 0.0000
N 0.5000 0.5000 0.5000


3.
Here is crystalline ReSbTe2N at its relaxed geometry from Alexandria via LeMat-Bulk. Energies are from PBE.

Computed properties:
Calculated volume (A^3/atom): 25.37
Energy above the most stable polymorph in this dataset (meV/atom): 1399
DOS at the Fermi energy (states/eV/cell): 3.55
Uncorrected energy (eV/atom): -4.51

a b c (Å): 5.7290 5.7290 3.8654
angles (deg): 90.00 90.00 90.00
Space group P4/mmm (No. 123)
Inequivalent atoms, fractional coordinates:
Re 0.0000 0.0000 0.0000
Sb 0.5000 0.5000 0.5000
Te 0.0000 0.5000 0.5000
N 0.5000 0.5000 0.0000


4.
Here is crystalline Y2ReSbN at its relaxed geometry from Alexandria via LeMat-Bulk. Energies are from PBE.

Computed properties:
Calculated volume (A^3/atom): 28.42
DOS at the Fermi energy (states/eV/cell): 3.05
Uncorrected energy (eV/atom): -6.58

a b c (Å): 5.3757 5.3757 4.9179
angles (deg): 90.00 90.00 90.00
Space group P4/mmm (No. 123)
Inequivalent atoms, fractional coordinates:
Y 0.0000 0.5000 0.0000
Re 0.0000 0.0000 0.0000
Sb 0.0000 0.0000 0.5000
N 0.5000 0.5000 0.5000